CoPbSeO after structural relaxation. Source: the Open Quantum Materials Database, functional PBE with a Hubbard U.

```
CoPbSeO
1.0
-4.577 3.402 -2.025
-2.385 -1.567 2.759
3.585 10.075 8.823
Co O Pb Se
4 4 4 4
Cartesian
-2.200 2.544 2.399
-4.147 5.203 2.225
1.963 7.490 5.952
0.016 10.149 5.779
-3.768 3.432 1.547
-0.983 3.129 3.783
-1.201 9.564 4.394
1.584 9.261 6.631
-3.152 3.388 -0.801
0.341 5.072 3.175
-2.525 7.621 5.002
0.968 9.305 8.978
-0.763 1.958 0.452
-2.042 6.497 1.925
-0.142 6.196 6.252
-1.421 10.735 7.725
```

Its space group is No. 62. The total energy is -80.12 eV for the cell shown.